# 1
VASP calculation (PBE) on a relaxed SmAlO3 crystal.

Lattice parameters (Å, degrees): 5.776 5.776 5.776 54.25 54.25 54.25
Fractional coordinates of all 10 atoms:
Sm 0.128 0.128 0.128
Sm 0.872 0.872 0.872
Al 0.343 0.343 0.343
Al 0.657 0.657 0.657
O 0.061 0.475 0.686
O 0.314 0.939 0.525
O 0.475 0.686 0.061
O 0.525 0.314 0.939
O 0.686 0.061 0.475
O 0.939 0.525 0.314

Computed properties:
- Spin magnetization: 0.000 μB per atom
- VASP energy: -7.75 eV/atom
- Volume: 11.80 A^3/atom


# 2
VASP calculation (PBE) on a relaxed SrSm2Al2O7 crystal.

Lattice parameters (Å, degrees): 10.303 10.303 10.303 159.27 159.27 29.48
Fractional coordinates of all 12 atoms:
Sr 0.000 0.000 0.000
Sm 0.181 0.181 0.000
Sm 0.819 0.819 0.000
Al 0.406 0.406 0.000
Al 0.594 0.594 0.000
O 0.103 0.603 0.500
O 0.297 0.297 0.000
O 0.397 0.897 0.500
O 0.500 0.500 0.000
O 0.603 0.103 0.500
O 0.703 0.703 0.000
O 0.897 0.397 0.500

Computed properties:
- Spin magnetization: 0.000 μB per atom
- VASP energy: -7.65 eV/atom
- Volume: 11.41 A^3/atom


# 3
VASP calculation (PBE) on a relaxed Sm2TaAlO6 crystal.

Lattice parameters (Å, degrees): 5.495 5.495 5.495 120.88 120.88 88.48
Fractional coordinates of all 10 atoms:
Sm 0.250 0.750 0.500
Sm 0.750 0.250 0.500
Ta 0.000 0.000 0.000
Al 0.500 0.500 0.000
O 0.197 0.673 0.869
O 0.260 0.260 0.000
O 0.327 0.197 0.524
O 0.673 0.803 0.476
O 0.740 0.740 0.000
O 0.803 0.327 0.131

Computed properties:
- Spin magnetization: 0.168 μB per atom
- VASP energy: -8.33 eV/atom
- Volume: 11.57 A^3/atom


# 4
VASP calculation (PBE) on a relaxed AlZnSnO4 crystal.

Lattice parameters (Å, degrees): 6.102 6.102 8.515 90.00 90.00 90.00
Fractional coordinates of all 28 atoms:
Al 0.000 0.236 0.000
Al 0.000 0.764 0.500
Al 0.236 0.000 0.750
Al 0.764 0.000 0.250
Zn 0.242 0.500 0.750
Zn 0.500 0.242 0.000
Zn 0.500 0.758 0.500
Zn 0.758 0.500 0.250
Sn 0.261 0.261 0.375
Sn 0.261 0.739 0.125
Sn 0.739 0.261 0.625
Sn 0.739 0.739 0.875
O 0.012 0.224 0.773
O 0.012 0.776 0.727
O 0.224 0.012 0.977
O 0.224 0.988 0.523
O 0.225 0.451 0.992
O 0.225 0.549 0.508
O 0.451 0.225 0.758
O 0.451 0.775 0.742
O 0.549 0.225 0.242
O 0.549 0.775 0.258
O 0.775 0.451 0.008
O 0.775 0.549 0.492
O 0.776 0.012 0.023
O 0.776 0.988 0.477
O 0.988 0.224 0.227
O 0.988 0.776 0.273

Computed properties:
- VASP energy: -5.97 eV/atom
- Volume: 11.32 A^3/atom


# 5
VASP calculation (PBE) on a relaxed AlZnSnO4 crystal.

Lattice parameters (Å, degrees): 6.111 6.111 8.620 90.00 90.00 90.00
Fractional coordinates of all 28 atoms:
Al 0.245 0.245 0.375
Al 0.245 0.755 0.125
Al 0.755 0.245 0.625
Al 0.755 0.755 0.875
Zn 0.000 0.234 0.000
Zn 0.000 0.766 0.500
Zn 0.234 0.000 0.750
Zn 0.766 0.000 0.250
Sn 0.236 0.500 0.750
Sn 0.500 0.236 0.000
Sn 0.500 0.764 0.500
Sn 0.764 0.500 0.250
O 0.009 0.243 0.247
O 0.009 0.757 0.253
O 0.237 0.493 0.490
O 0.237 0.507 0.010
O 0.243 0.009 0.503
O 0.243 0.991 0.997
O 0.493 0.237 0.260
O 0.493 0.763 0.240
O 0.507 0.237 0.740
O 0.507 0.763 0.760
O 0.757 0.009 0.497
O 0.757 0.991 0.003
O 0.763 0.493 0.510
O 0.763 0.507 0.990
O 0.991 0.243 0.753
O 0.991 0.757 0.747

Computed properties:
- VASP energy: -5.88 eV/atom
- Volume: 11.50 A^3/atom


# 6
VASP calculation (PBE) on a relaxed AlZnSnO4 crystal.

Lattice parameters (Å, degrees): 6.151 6.151 8.489 90.00 90.00 90.00
Fractional coordinates of all 28 atoms:
Al 0.000 0.233 0.000
Al 0.000 0.767 0.500
Al 0.233 0.000 0.750
Al 0.767 0.000 0.250
Zn 0.244 0.244 0.375
Zn 0.244 0.756 0.125
Zn 0.756 0.244 0.625
Zn 0.756 0.756 0.875
Sn 0.237 0.500 0.750
Sn 0.500 0.237 0.000
Sn 0.500 0.763 0.500
Sn 0.763 0.500 0.250
O 0.015 0.223 0.772
O 0.015 0.777 0.728
O 0.216 0.466 0.011
O 0.216 0.534 0.489
O 0.223 0.015 0.978
O 0.223 0.985 0.522
O 0.466 0.216 0.739
O 0.466 0.784 0.761
O 0.534 0.216 0.261
O 0.534 0.784 0.239
O 0.777 0.015 0.022
O 0.777 0.985 0.478
O 0.784 0.466 0.989
O 0.784 0.534 0.511
O 0.985 0.223 0.228
O 0.985 0.777 0.272

Computed properties:
- VASP energy: -5.96 eV/atom
- Volume: 11.47 A^3/atom


# 7
VASP calculation (PBE) on a relaxed Ta2AlO4 crystal.

Lattice parameters (Å, degrees): 6.019 6.019 6.019 60.00 60.00 60.00
Fractional coordinates of all 14 atoms:
Ta 0.000 0.000 0.000
Ta 0.000 0.000 0.500
Ta 0.000 0.500 0.000
Ta 0.500 0.000 0.000
Al 0.375 0.375 0.375
Al 0.625 0.625 0.625
O 0.258 0.258 0.258
O 0.258 0.258 0.727
O 0.258 0.727 0.258
O 0.273 0.742 0.742
O 0.727 0.258 0.258
O 0.742 0.273 0.742
O 0.742 0.742 0.273
O 0.742 0.742 0.742

Computed properties:
- Spin magnetization: 0.000 μB per atom
- VASP energy: -8.91 eV/atom
- Volume: 11.02 A^3/atom


# 8
VASP calculation (PBE) on a relaxed Ta2Al2O5 crystal.

Lattice parameters (Å, degrees): 3.748 3.748 6.280 90.00 90.00 90.00
Fractional coordinates of all 9 atoms:
Ta 0.000 0.000 0.000
Ta 0.000 0.000 0.500
Al 0.500 0.500 0.212
Al 0.500 0.500 0.788
O 0.000 0.500 0.227
O 0.000 0.500 0.773
O 0.500 0.000 0.227
O 0.500 0.000 0.773
O 0.500 0.500 0.500

Computed properties:
- Spin magnetization: 0.130 μB per atom
- VASP energy: -7.69 eV/atom
- Volume: 9.80 A^3/atom